Mg12Hg5Ge3 | PBE-GGA | optimized geometry

Geometry as POSCAR:
```
Mg12Hg5Ge3
1.0
-8.1019 8.1019 8.1019
8.1019 -8.1019 8.1019
8.1019 8.1019 -8.1019
Mg Hg Ge
48 20 12
Direct
0.0652 0.6328 0.4025
0.0652 0.9324 0.6627
0.0676 0.2303 0.1328
0.0676 0.3373 0.9348
0.0975 0.7303 0.6627
0.0975 0.8672 0.4348
0.1328 0.0676 0.2303
0.1328 0.5652 0.9025
0.1627 0.2303 0.5975
0.1627 0.4324 0.5652
0.2303 0.1328 0.0676
0.2303 0.5975 0.1627
0.2697 0.3373 0.9025
0.2697 0.4324 0.3672
0.3373 0.9025 0.2697
0.3373 0.9348 0.0676
0.3672 0.2697 0.4324
0.3672 0.5975 0.9348
0.4025 0.0652 0.6328
0.4025 0.8373 0.7697
0.4324 0.3672 0.2697
0.4324 0.5652 0.1627
0.4348 0.0975 0.8672
0.4348 0.8373 0.5676
0.5652 0.1627 0.4324
0.5652 0.9025 0.1328
0.5676 0.4348 0.8373
0.5676 0.6328 0.7303
0.5975 0.1627 0.2303
0.5975 0.9348 0.3672
0.6328 0.4025 0.0652
0.6328 0.7303 0.5676
0.6627 0.0652 0.9324
0.6627 0.0975 0.7303
0.7303 0.5676 0.6328
0.7303 0.6627 0.0975
0.7697 0.4025 0.8373
0.7697 0.8672 0.9324
0.8373 0.5676 0.4348
0.8373 0.7697 0.4025
0.8672 0.4348 0.0975
0.8672 0.9324 0.7697
0.9025 0.1328 0.5652
0.9025 0.2697 0.3373
0.9324 0.6627 0.0652
0.9324 0.7697 0.8672
0.9348 0.0676 0.3373
0.9348 0.3672 0.5975
0.0000 0.0000 0.0000
0.0000 0.0000 0.5000
0.0000 0.5000 0.0000
0.0000 0.5000 0.5000
0.1250 0.7500 0.8750
0.1250 0.8750 0.2500
0.2500 0.1250 0.8750
0.2500 0.6250 0.3750
0.3750 0.2500 0.6250
0.3750 0.6250 0.7500
0.5000 0.0000 0.0000
0.5000 0.0000 0.5000
0.5000 0.5000 0.0000
0.5000 0.5000 0.5000
0.6250 0.3750 0.2500
0.6250 0.7500 0.3750
0.7500 0.3750 0.6250
0.7500 0.8750 0.1250
0.8750 0.1250 0.7500
0.8750 0.2500 0.1250
0.1250 0.2500 0.3750
0.1250 0.3750 0.7500
0.2500 0.3750 0.1250
0.2500 0.8750 0.6250
0.3750 0.1250 0.2500
0.3750 0.7500 0.1250
0.6250 0.2500 0.8750
0.6250 0.8750 0.7500
0.7500 0.1250 0.3750
0.7500 0.6250 0.8750
0.8750 0.6250 0.2500
0.8750 0.7500 0.6250
```

Its volume is 2127 Å³ per cell. For the formation energy, the calculation gives 51.0 meV/atom. The value obtained for the energy is -133.909 eV/cell.